# La12TmCd3 PBE-GGA relaxed
data_La12TmCd3
_chemical_formula_sum 'La12 Tm1 Cd3'
_cell_length_a 5.095
_cell_length_b 5.095
_cell_length_c 20.486
_cell_angle_alpha 90.00
_cell_angle_beta 90.00
_cell_angle_gamma 90.00
_space_group_name_H-M_alt 'P 4/m m m'
_space_group_IT_number 123
_space_group_name_Hall '-P 4 2'
loop_
_atom_site_label
_atom_site_type_symbol
_atom_site_fract_x
_atom_site_fract_y
_atom_site_fract_z
_atom_site_occupancy
La1 La 0.000 0.000 0.000 1
La2 La 0.000 0.000 0.249 1
La3 La 0.000 0.000 0.500 1
La4 La 0.000 0.500 0.123 1
La5 La 0.000 0.500 0.372 1
Tm1 Tm 0.500 0.500 0.500 1
Cd1 Cd 0.500 0.500 0.000 1
Cd2 Cd 0.500 0.500 0.246 1
# Total magnetization, μB per atom: 0.000
# Energy, Ry per atom: -0.312
# ΔH_f (0 K), eV per atom: -0.095

---

# La9Tm4Cd11 PBE-GGA relaxed
data_La9Tm4Cd11
_chemical_formula_sum 'La18 Tm8 Cd22'
_cell_length_a 16.350
_cell_length_b 24.105
_cell_length_c 3.518
_cell_angle_alpha 90.00
_cell_angle_beta 90.00
_cell_angle_gamma 90.00
_space_group_name_H-M_alt 'C m m m'
_space_group_IT_number 65
_space_group_name_Hall '-C 2 2'
loop_
_atom_site_label
_atom_site_type_symbol
_atom_site_fract_x
_atom_site_fract_y
_atom_site_fract_z
_atom_site_occupancy
La1 La 0.000 0.000 0.000 1
La2 La 0.106 0.243 0.000 1
La3 La 0.133 0.420 0.000 1
Tm1 Tm 0.152 0.098 0.000 1
Cd1 Cd 0.000 0.135 0.500 1
Cd2 Cd 0.000 0.342 0.500 1
Cd3 Cd 0.000 0.500 0.500 1
Cd4 Cd 0.216 0.000 0.500 1
Cd5 Cd 0.239 0.319 0.500 1
# Total magnetization, μB per atom: 0.011
# Energy, Ry per atom: -0.240
# ΔH_f (0 K), eV per atom: -0.255

---

# La5TmCd4 PBE-GGA relaxed
data_La5TmCd4
_chemical_formula_sum 'La5 Tm1 Cd4'
_cell_length_a 3.901
_cell_length_b 3.901
_cell_length_c 20.553
_cell_angle_alpha 90.00
_cell_angle_beta 90.00
_cell_angle_gamma 90.00
_space_group_name_H-M_alt 'P 4/m m m'
_space_group_IT_number 123
_space_group_name_Hall '-P 4 2'
loop_
_atom_site_label
_atom_site_type_symbol
_atom_site_fract_x
_atom_site_fract_y
_atom_site_fract_z
_atom_site_occupancy
La1 La 0.000 0.000 0.000 1
La2 La 0.000 0.000 0.194 1
La3 La 0.000 0.000 0.387 1
Tm1 Tm 0.500 0.500 0.500 1
Cd1 Cd 0.500 0.500 0.097 1
Cd2 Cd 0.500 0.500 0.293 1
# Total magnetization, μB per atom: 0.103
# Energy, Ry per atom: -0.259
# ΔH_f (0 K), eV per atom: -0.244